# CsScSe2 PBE-GGA optimized geometry
data_CsScSe2
_chemical_formula_sum 'Cs2 Sc2 Se4'
_space_group_name_H-M_alt 'P 1'
_space_group_IT_number 1
_cell_length_a 7.618
_cell_length_b 7.618
_cell_length_c 6.713
_cell_angle_alpha 104.80
_cell_angle_beta 104.80
_cell_angle_gamma 110.95
loop_
_space_group_symop_operation_xyz
'x,y,z'
loop_
_atom_site_label
_atom_site_fract_x
_atom_site_fract_y
_atom_site_fract_z
_atom_site_occupancy
Cs1 0.143 0.857 0.750 1
Cs2 0.857 0.143 0.250 1
Sc1 0.489 0.511 0.250 1
Sc2 0.511 0.489 0.750 1
Se1 0.208 0.414 0.874 1
Se2 0.414 0.208 0.374 1
Se3 0.586 0.792 0.626 1
Se4 0.792 0.586 0.126 1
# - symmetry = C2/c, No. 15
# - formation energy (no corrections) (meV per atom) = -1521

# Al2VTe PBE-GGA optimized geometry
data_Al2VTe
_chemical_formula_sum 'Al2 V1 Te1'
_space_group_name_H-M_alt 'P 1'
_space_group_IT_number 1
_cell_length_a 4.774
_cell_length_b 4.774
_cell_length_c 4.774
_cell_angle_alpha 60.00
_cell_angle_beta 60.00
_cell_angle_gamma 60.00
loop_
_space_group_symop_operation_xyz
'x,y,z'
loop_
_atom_site_label
_atom_site_fract_x
_atom_site_fract_y
_atom_site_fract_z
_atom_site_occupancy
Al1 0.250 0.250 0.250 1
Al2 0.750 0.750 0.750 1
V1 0.000 0.000 0.000 1
Te1 0.500 0.500 0.500 1
# - symmetry = Fm-3m, No. 225
# - formation energy (no corrections) (meV per atom) = 490

# Ba2Al2Ir PBE-GGA optimized geometry
data_Ba2Al2Ir
_chemical_formula_sum 'Ba4 Al4 Ir2'
_space_group_name_H-M_alt 'P 1'
_space_group_IT_number 1
_cell_length_a 6.770
_cell_length_b 6.770
_cell_length_c 5.789
_cell_angle_alpha 90.00
_cell_angle_beta 90.00
_cell_angle_gamma 90.00
loop_
_space_group_symop_operation_xyz
'x,y,z'
loop_
_atom_site_label
_atom_site_fract_x
_atom_site_fract_y
_atom_site_fract_z
_atom_site_occupancy
Ba1 0.183 0.317 0.000 1
Ba2 0.317 0.817 0.000 1
Ba3 0.683 0.183 0.000 1
Ba4 0.817 0.683 0.000 1
Al1 0.157 0.657 0.500 1
Al2 0.343 0.157 0.500 1
Al3 0.657 0.843 0.500 1
Al4 0.843 0.343 0.500 1
Ir1 0.000 0.000 0.500 1
Ir2 0.500 0.500 0.500 1
# - symmetry = P4/mbm, No. 127
# - DFT formation energy (meV/atom) = -69

# NaMgCo2W PBE-GGA optimized geometry
data_NaMgCo2W
_chemical_formula_sum 'Na1 Mg1 Co2 W1'
_space_group_name_H-M_alt 'P 1'
_space_group_IT_number 1
_cell_length_a 4.326
_cell_length_b 4.326
_cell_length_c 4.128
_cell_angle_alpha 90.00
_cell_angle_beta 90.00
_cell_angle_gamma 90.00
loop_
_space_group_symop_operation_xyz
'x,y,z'
loop_
_atom_site_label
_atom_site_fract_x
_atom_site_fract_y
_atom_site_fract_z
_atom_site_occupancy
Na1 0.000 0.000 0.000 1
Mg1 0.000 0.000 0.500 1
Co1 0.000 0.500 0.500 1
Co2 0.500 0.000 0.500 1
W1 0.500 0.500 0.000 1
# - symmetry = P4/mmm, No. 123
# - DFT formation energy (meV/atom) = 1849

# HfCu4S5 PBE-GGA optimized geometry
data_HfCu4S5
_chemical_formula_sum 'Hf1 Cu4 S5'
_space_group_name_H-M_alt 'P 1'
_space_group_IT_number 1
_cell_length_a 6.153
_cell_length_b 6.153
_cell_length_c 6.153
_cell_angle_alpha 99.76
_cell_angle_beta 99.76
_cell_angle_gamma 131.37
loop_
_space_group_symop_operation_xyz
'x,y,z'
loop_
_atom_site_label
_atom_site_fract_x
_atom_site_fract_y
_atom_site_fract_z
_atom_site_occupancy
Hf1 0.000 0.000 0.000 1
Cu1 0.129 0.539 0.816 1
Cu2 0.313 0.129 0.590 1
Cu3 0.539 0.723 0.410 1
Cu4 0.723 0.313 0.184 1
S1 0.032 0.240 0.398 1
S2 0.240 0.842 0.209 1
S3 0.477 0.477 0.000 1
S4 0.634 0.032 0.791 1
S5 0.842 0.634 0.602 1
# - symmetry = I4, No. 79
# - formation energy (no corrections) (meV per atom) = -442

# Sc2CrSi PBE-GGA optimized geometry
data_Sc2CrSi
_chemical_formula_sum 'Sc2 Cr1 Si1'
_space_group_name_H-M_alt 'P 1'
_space_group_IT_number 1
_cell_length_a 9.416
_cell_length_b 9.416
_cell_length_c 9.416
_cell_angle_alpha 18.23
_cell_angle_beta 18.23
_cell_angle_gamma 18.23
loop_
_space_group_symop_operation_xyz
'x,y,z'
loop_
_atom_site_label
_atom_site_fract_x
_atom_site_fract_y
_atom_site_fract_z
_atom_site_occupancy
Sc1 0.088 0.088 0.088 1
Sc2 0.912 0.912 0.912 1
Cr1 0.000 0.000 0.000 1
Si1 0.500 0.500 0.500 1
# - symmetry = R-3m, No. 166
# - formation energy (no corrections) (meV per atom) = 413

# CePu2Tl PBE-GGA optimized geometry
data_CePu2Tl
_chemical_formula_sum 'Ce1 Pu2 Tl1'
_space_group_name_H-M_alt 'P 1'
_space_group_IT_number 1
_cell_length_a 7.661
_cell_length_b 7.661
_cell_length_c 7.661
_cell_angle_alpha 31.12
_cell_angle_beta 31.12
_cell_angle_gamma 31.12
loop_
_space_group_symop_operation_xyz
'x,y,z'
loop_
_atom_site_label
_atom_site_fract_x
_atom_site_fract_y
_atom_site_fract_z
_atom_site_occupancy
Ce1 0.000 0.000 0.000 1
Pu1 0.268 0.268 0.268 1
Pu2 0.732 0.732 0.732 1
Tl1 0.500 0.500 0.500 1
# - symmetry = R-3m, No. 166
# - DFT formation energy (meV/atom) = 301

# LaZn4Hg PBE-GGA optimized geometry
data_LaZn4Hg
_chemical_formula_sum 'La1 Zn4 Hg1'
_space_group_name_H-M_alt 'P 1'
_space_group_IT_number 1
_cell_length_a 5.564
_cell_length_b 5.564
_cell_length_c 5.564
_cell_angle_alpha 60.00
_cell_angle_beta 60.00
_cell_angle_gamma 60.00
loop_
_space_group_symop_operation_xyz
'x,y,z'
loop_
_atom_site_label
_atom_site_fract_x
_atom_site_fract_y
_atom_site_fract_z
_atom_site_occupancy
La1 0.000 0.000 0.000 1
Zn1 0.126 0.625 0.625 1
Zn2 0.625 0.126 0.625 1
Zn3 0.625 0.625 0.126 1
Zn4 0.625 0.625 0.625 1
Hg1 0.250 0.250 0.250 1
# - symmetry = F-43m, No. 216
# - DFT formation energy (meV/atom) = -170